Entry 1:
VASP calculation (PBE) on a geometry-optimized LiGaHg2Br4 structure.

Total energy in eV/atom: -2.31

Structure (POSCAR):
```
LiGaHg2Br4
1.0
0.000 6.685 15.780
3.252 0.000 15.780
3.252 6.685 0.000
Li Ga Hg Br
2 2 4 8
direct
0.125 0.125 0.125
0.875 0.875 0.875
0.375 0.375 0.375
0.625 0.625 0.625
0.025 0.025 0.725
0.275 0.275 0.975
0.725 0.725 0.025
0.975 0.975 0.275
0.010 0.657 0.545
0.289 0.545 0.657
0.343 0.990 0.711
0.455 0.711 0.990
0.545 0.289 0.010
0.657 0.010 0.289
0.711 0.455 0.343
0.990 0.343 0.455
```

Entry 2:
VASP calculation (PBE) on a geometry-optimized Er2Be15Ni2 structure.

Energy relative to the elements in meV per atom: -215

Structure (POSCAR):
```
Er2Be15Ni2
1.0
3.879 2.239 3.774
-3.879 2.239 3.774
0.000 -4.479 3.774
Er Be Ni
2 15 2
direct
0.158 0.158 0.158
0.842 0.842 0.842
0.000 0.500 0.500
0.165 0.165 0.653
0.165 0.653 0.165
0.225 0.500 0.775
0.225 0.775 0.500
0.347 0.835 0.835
0.500 0.000 0.500
0.500 0.225 0.775
0.500 0.500 0.000
0.500 0.775 0.225
0.653 0.165 0.165
0.775 0.225 0.500
0.775 0.500 0.225
0.835 0.347 0.835
0.835 0.835 0.347
0.396 0.396 0.396
0.604 0.604 0.604
```

Entry 3:
VASP calculation (PBE) on a geometry-optimized SmEuGaGe structure.

Energy relative to the elements in meV per atom: -536

Structure (POSCAR):
```
SmEuGaGe
1.0
0.000 3.681 3.681
3.681 0.000 3.681
3.681 3.681 0.000
Sm Eu Ga Ge
1 1 1 1
direct
0.000 0.000 0.000
0.500 0.500 0.500
0.250 0.250 0.250
0.750 0.750 0.750
```

Repeat the second record exactly.
VASP calculation (PBE) on a geometry-optimized Er2Be15Ni2 structure.

Energy relative to the elements in meV per atom: -215

Structure (POSCAR):
```
Er2Be15Ni2
1.0
3.879 2.239 3.774
-3.879 2.239 3.774
0.000 -4.479 3.774
Er Be Ni
2 15 2
direct
0.158 0.158 0.158
0.842 0.842 0.842
0.000 0.500 0.500
0.165 0.165 0.653
0.165 0.653 0.165
0.225 0.500 0.775
0.225 0.775 0.500
0.347 0.835 0.835
0.500 0.000 0.500
0.500 0.225 0.775
0.500 0.500 0.000
0.500 0.775 0.225
0.653 0.165 0.165
0.775 0.225 0.500
0.775 0.500 0.225
0.835 0.347 0.835
0.835 0.835 0.347
0.396 0.396 0.396
0.604 0.604 0.604
```

What did the second record say?
VASP calculation (PBE) on a geometry-optimized Er2Be15Ni2 structure.

Energy relative to the elements in meV per atom: -215

Structure (POSCAR):
```
Er2Be15Ni2
1.0
3.879 2.239 3.774
-3.879 2.239 3.774
0.000 -4.479 3.774
Er Be Ni
2 15 2
direct
0.158 0.158 0.158
0.842 0.842 0.842
0.000 0.500 0.500
0.165 0.165 0.653
0.165 0.653 0.165
0.225 0.500 0.775
0.225 0.775 0.500
0.347 0.835 0.835
0.500 0.000 0.500
0.500 0.225 0.775
0.500 0.500 0.000
0.500 0.775 0.225
0.653 0.165 0.165
0.775 0.225 0.500
0.775 0.500 0.225
0.835 0.347 0.835
0.835 0.835 0.347
0.396 0.396 0.396
0.604 0.604 0.604
```